Entry 1:
{
  "formula": "La2Hg",
  "functional": "GGA-PBE",
  "state": "optimized geometry",
  "total_magnetization_mub_per_cell": 0.1,
  "spacegroup": "I4/mcm",
  "formation_enthalpy_0k_ev_per_atom": -0.26,
  "cell": [[-6.062, -1.338, 1.658], [-4.336, -1.345, -4.488], [4.313, -4.685, -0.463]],
  "species": ["Hg", "Hg", "La", "La", "La", "La"],
  "fractional_positions": [[0.250, 0.000, 0.000], [0.750, 0.000, 0.000], [0.157, 0.186, 0.500], [0.343, 0.500, 0.186], [0.657, 0.500, 0.814], [0.843, 0.814, 0.500]]
}



Entry 2:
{
  "formula": "KSr3Ir",
  "functional": "GGA-PBE",
  "state": "optimized geometry",
  "total_magnetization_mub_per_cell": 0.0,
  "spacegroup": "Pm",
  "de_polymorph_mev_per_atom": 0.0,
  "formation_enthalpy_0k_ev_per_atom": -0.10,
  "cell": [[-2.287, -2.978, -2.170], [4.637, -7.117, 4.883], [-8.703, 2.003, 6.424]],
  "species": ["Sr", "Sr", "Sr", "Sr", "Sr", "Sr", "K", "K", "Ir", "Ir"],
  "fractional_positions": [[0.044, 0.856, 0.807], [0.544, 0.464, 0.227], [0.544, 0.199, 0.892], [0.044, 0.120, 0.142], [0.044, 0.761, 0.136], [0.544, 0.559, 0.898], [0.045, 0.372, 0.562], [0.544, 0.951, 0.472], [0.544, 0.906, 0.001], [0.044, 0.413, 0.033]]
}



Entry 3:
{
  "formula": "BaReN3",
  "functional": "GGA-PBE",
  "state": "optimized geometry",
  "total_magnetization_mub_per_cell": 0.0,
  "spacegroup": "P1",
  "raw_formation_energy_ev_per_atom": -0.2247,
  "cell": [[-1.524, -0.796, 3.993], [2.917, -5.828, -1.812], [4.132, 5.270, 2.955]],
  "species": ["Re", "Re", "Ba", "Ba", "N", "N", "N", "N", "N", "N"],
  "fractional_positions": [[0.198, 0.148, 0.766], [0.683, 0.064, 0.526], [0.850, 0.489, 0.356], [0.426, 0.788, 0.932], [0.895, 0.717, 0.119], [0.115, 0.335, 0.621], [0.360, 0.868, 0.605], [0.831, 0.866, 0.285], [0.441, 0.333, 0.622], [0.188, 0.211, 0.030]]
}



Entry 4:
{
  "formula": "TaRuW2",
  "functional": "GGA-PBE",
  "state": "optimized geometry",
  "total_magnetization_mub_per_cell": 0.0,
  "spacegroup": "Cmmm",
  "de_polymorph_mev_per_atom": 292.7,
  "formation_enthalpy_0k_ev_per_atom": 0.22,
  "cell": [[-2.842, 4.205, 0.921], [0.879, -3.284, 3.880], [2.318, 1.419, 0.675]],
  "species": ["Ru", "Ta", "W", "W"],
  "fractional_positions": [[0.500, 0.000, 0.500], [0.000, 0.500, 0.500], [0.000, 0.000, 0.000], [0.500, 0.500, 0.000]]
}